## SbMo2Pb (GGA-PBE)

Data for a relaxed SbMo2Pb crystal.

Unit cell a=8.968 b=8.968 c=8.968 alpha=20.67 beta=20.67 gamma=20.67
Fractional coordinates of all 4 atoms:
Mo 0.004 0.004 0.004
Mo 0.496 0.496 0.496
Pb 0.250 0.250 0.250
Sb 0.750 0.750 0.750

Summary:
For the formation energy from raw total energies, the calculation gives 14.55 kcal/mol of atoms. The calculation puts the energy above the most stable polymorph in this dataset at 1.743 eV per formula unit. For the density of states at the Fermi level, the calculation gives 5.5 states/eV/f.u.

## SbMo2Pb (GGA-PBE)

Data for a relaxed SbMo2Pb crystal.

Unit cell a=4.781 b=3.410 c=5.360 alpha=74.43 beta=90.00 gamma=90.00
Fractional coordinates of all 4 atoms:
Pb 0.000 0.402 0.492
Sb 0.500 0.877 0.777
Mo 0.500 0.227 0.193
Mo 0.000 0.994 0.038

Summary:
For the formation energy from raw total energies, the calculation gives 13.12 kcal/mol of atoms. The calculation puts the energy above the most stable polymorph in this dataset at 1.495 eV per formula unit. For the density of states at the Fermi level, the calculation gives 2.8 states/eV/f.u.

## SbMo2Pb (GGA-PBE)

Data for a relaxed SbMo2Pb crystal.

Unit cell a=3.373 b=3.372 c=6.800 alpha=90.00 beta=90.00 gamma=90.00
Fractional coordinates of all 4 atoms:
Mo 0.000 0.000 0.528
Mo 0.000 0.000 0.972
Pb 0.500 0.500 0.250
Sb 0.500 0.500 0.750

Summary:
For the formation energy from raw total energies, the calculation gives 12.57 kcal/mol of atoms. The calculation puts the energy above the most stable polymorph in this dataset at 1.399 eV per formula unit. For the density of states at the Fermi level, the calculation gives 4.9 states/eV/f.u.

## Sb2Mo2Pb (GGA-PBE)

Data for a relaxed Sb2Mo2Pb crystal.

Unit cell a=8.013 b=8.013 c=3.262 alpha=90.00 beta=90.00 gamma=90.00
Fractional coordinates of all 10 atoms:
Sb 0.854 0.354 0.500
Sb 0.646 0.854 0.500
Sb 0.354 0.146 0.500
Sb 0.146 0.646 0.500
Pb 0.000 0.000 0.000
Pb 0.500 0.500 0.000
Mo 0.357 0.857 0.000
Mo 0.857 0.643 0.000
Mo 0.643 0.143 0.000
Mo 0.143 0.357 0.000

Summary:
For the formation energy from raw total energies, the calculation gives 8.35 kcal/mol of atoms. For the density of states at the Fermi level, the calculation gives 6.0 states/eV/f.u.

## SbMoPb3 (GGA-PBE)

Data for a relaxed SbMoPb3 crystal.

Unit cell a=5.444 b=5.444 c=5.444 alpha=90.00 beta=90.00 gamma=90.00
Site moments in Bohr magnetons follow the coordinates.
Fractional coordinates of all 5 atoms:
Pb 0.000 0.500 0.000  -0.01
Pb 0.500 0.000 0.000  -0.04
Pb 0.000 0.000 0.500  0.02
Mo 0.000 0.000 0.000  1.40
Sb 0.500 0.500 0.500  0.43

Summary:
For the formation energy from raw total energies, the calculation gives 14.07 kcal/mol of atoms. The calculation puts the energy above the most stable polymorph in this dataset at 0.000 eV per formula unit. For the density of states at the Fermi level, the calculation gives 3.1 states/eV/f.u.

## SbMoPb (GGA-PBE)

Data for a relaxed SbMoPb crystal.

Unit cell a=8.447 b=8.308 c=3.128 alpha=81.76 beta=76.74 gamma=21.50
Fractional coordinates of all 3 atoms:
Sb 0.628 0.628 0.372
Pb 0.365 0.365 0.635
Mo 0.007 0.007 0.993

Summary:
For the formation energy from raw total energies, the calculation gives 10.33 kcal/mol of atoms. The calculation puts the energy above the most stable polymorph in this dataset at 0.334 eV per formula unit. For the density of states at the Fermi level, the calculation gives 1.0 states/eV/f.u.

## Sb3MoPb (GGA-PBE)

Data for a relaxed Sb3MoPb crystal.

Unit cell a=5.298 b=5.298 c=5.298 alpha=90.00 beta=90.00 gamma=90.00
Site moments in Bohr magnetons follow the coordinates.
Fractional coordinates of all 5 atoms:
Sb 0.500 0.000 0.000  -0.03
Sb 0.000 0.500 0.000  -0.01
Sb 0.000 0.000 0.500  -0.02
Pb 0.500 0.500 0.500  0.11
Mo 0.000 0.000 0.000  0.46

Summary:
For the formation energy from raw total energies, the calculation gives 10.54 kcal/mol of atoms. The calculation puts the energy above the most stable polymorph in this dataset at 0.000 eV per formula unit. For the density of states at the Fermi level, the calculation gives 5.9 states/eV/f.u.

## SbMo2Pb (GGA-PBE)

Data for a relaxed SbMo2Pb crystal.

Unit cell a=3.160 b=3.160 c=8.900 alpha=90.00 beta=90.00 gamma=115.29
Fractional coordinates of all 4 atoms:
Pb 0.500 0.500 0.250
Mo 0.000 0.000 0.987
Mo 0.000 0.000 0.513
Sb 0.500 0.500 0.750

Summary:
For the formation energy from raw total energies, the calculation gives 17.30 kcal/mol of atoms. The calculation puts the energy above the most stable polymorph in this dataset at 2.220 eV per formula unit. For the density of states at the Fermi level, the calculation gives 4.9 states/eV/f.u.

## SbMo2Pb (GGA-PBE)

Data for a relaxed SbMo2Pb crystal.

Unit cell a=4.837 b=4.837 c=4.837 alpha=60.00 beta=60.00 gamma=60.00
Fractional coordinates of all 4 atoms:
Pb 0.500 0.500 0.500
Mo 0.000 0.000 0.000
Mo 0.750 0.750 0.750
Sb 0.250 0.250 0.250

Summary:
For the formation energy from raw total energies, the calculation gives 16.72 kcal/mol of atoms. The calculation puts the energy above the most stable polymorph in this dataset at 2.120 eV per formula unit. For the density of states at the Fermi level, the calculation gives 2.8 states/eV/f.u.

## SbMo2Pb (GGA-PBE)

Data for a relaxed SbMo2Pb crystal.

Unit cell a=7.670 b=7.670 c=6.198 alpha=51.77 beta=51.77 gamma=90.00
Site moments in Bohr magnetons follow the coordinates.
Fractional coordinates of all 8 atoms:
Mo 0.151 0.625 0.250  1.16
Mo 0.875 0.849 0.750  1.16
Mo 0.599 0.125 0.250  1.16
Mo 0.375 0.401 0.750  1.16
Pb 0.000 0.000 0.000  -0.01
Pb 0.750 0.250 0.500  -0.01
Sb 0.250 0.750 0.500  -0.03
Sb 0.500 0.500 0.000  -0.03

Summary:
For the formation energy from raw total energies, the calculation gives 24.97 kcal/mol of atoms. The calculation puts the energy above the most stable polymorph in this dataset at 3.550 eV per formula unit. For the density of states at the Fermi level, the calculation gives 4.6 states/eV/f.u.

## SbMoPb (GGA-PBE)

Data for a relaxed SbMoPb crystal.

Unit cell a=4.991 b=4.991 c=3.137 alpha=90.00 beta=90.00 gamma=120.00
Fractional coordinates of all 3 atoms:
Pb 0.667 0.333 0.333
Sb 0.333 0.667 0.834
Mo 0.000 0.000 0.833

Summary:
For the formation energy from raw total energies, the calculation gives 14.46 kcal/mol of atoms. The calculation puts the energy above the most stable polymorph in this dataset at 0.871 eV per formula unit. For the density of states at the Fermi level, the calculation gives 3.0 states/eV/f.u.

## SbMo2Pb (GGA-PBE)

Data for a relaxed SbMo2Pb crystal.

Unit cell a=3.031 b=3.031 c=10.296 alpha=90.00 beta=90.00 gamma=109.09
Fractional coordinates of all 4 atoms:
Mo 0.000 0.000 0.027
Mo 0.500 0.500 0.212
Pb 0.000 0.000 0.454
Sb 0.500 0.500 0.808

Summary:
For the formation energy from raw total energies, the calculation gives 9.37 kcal/mol of atoms. The calculation puts the energy above the most stable polymorph in this dataset at 0.844 eV per formula unit. For the density of states at the Fermi level, the calculation gives 3.1 states/eV/f.u.

## SbMo2Pb (GGA-PBE)

Data for a relaxed SbMo2Pb crystal.

Unit cell a=5.206 b=5.206 c=5.206 alpha=130.71 beta=130.71 gamma=72.28
Site moments in Bohr magnetons follow the coordinates.
Fractional coordinates of all 4 atoms:
Pb 0.500 0.500 0.000  0.00
Mo 0.000 0.000 0.000  -0.07
Mo 0.250 0.750 0.500  0.11
Sb 0.750 0.250 0.500  0.00

Summary:
For the formation energy from raw total energies, the calculation gives 17.71 kcal/mol of atoms. The calculation puts the energy above the most stable polymorph in this dataset at 2.291 eV per formula unit. For the density of states at the Fermi level, the calculation gives 4.5 states/eV/f.u.

## SbMo2Pb (GGA-PBE)

Data for a relaxed SbMo2Pb crystal.

Unit cell a=5.331 b=5.331 c=5.220 alpha=70.00 beta=70.00 gamma=35.92
Fractional coordinates of all 4 atoms:
Mo 0.282 0.282 0.280
Mo 0.969 0.969 0.969
Sb 0.731 0.731 0.806
Pb 0.518 0.518 0.444

Summary:
For the formation energy from raw total energies, the calculation gives 10.72 kcal/mol of atoms. The calculation puts the energy above the most stable polymorph in this dataset at 1.079 eV per formula unit. For the density of states at the Fermi level, the calculation gives 2.4 states/eV/f.u.

## SbMoPb (GGA-PBE)

Data for a relaxed SbMoPb crystal.

Unit cell a=4.777 b=4.777 c=4.777 alpha=60.00 beta=60.00 gamma=60.00
Site moments in Bohr magnetons follow the coordinates.
Fractional coordinates of all 3 atoms:
Mo 0.750 0.750 0.750  1.53
Pb 0.000 0.000 0.000  0.00
Sb 0.500 0.500 0.500  -0.03

Summary:
For the formation energy from raw total energies, the calculation gives 14.53 kcal/mol of atoms. The calculation puts the energy above the most stable polymorph in this dataset at 0.881 eV per formula unit. For the density of states at the Fermi level, the calculation gives 3.8 states/eV/f.u.

## SbMo2Pb (GGA-PBE)

Data for a relaxed SbMo2Pb crystal.

Unit cell a=3.404 b=5.330 c=4.431 alpha=90.00 beta=90.00 gamma=90.00
Site moments in Bohr magnetons follow the coordinates.
Fractional coordinates of all 4 atoms:
Mo 0.000 0.000 0.000  0.10
Mo 0.500 0.500 0.000  0.06
Sb 0.000 0.500 0.500  0.00
Pb 0.500 0.000 0.500  0.00

Summary:
For the formation energy from raw total energies, the calculation gives 18.19 kcal/mol of atoms. The calculation puts the energy above the most stable polymorph in this dataset at 2.374 eV per formula unit. For the density of states at the Fermi level, the calculation gives 5.3 states/eV/f.u.

## SbMo2Pb (GGA-PBE)

Data for a relaxed SbMo2Pb crystal.

Unit cell a=5.146 b=5.146 c=5.990 alpha=71.95 beta=71.95 gamma=37.47
Fractional coordinates of all 4 atoms:
Pb 0.250 0.250 0.250
Sb 0.750 0.750 0.750
Mo 0.501 0.501 0.594
Mo 0.999 0.999 0.906

Summary:
For the formation energy from raw total energies, the calculation gives 12.62 kcal/mol of atoms. The calculation puts the energy above the most stable polymorph in this dataset at 1.408 eV per formula unit. For the density of states at the Fermi level, the calculation gives 2.8 states/eV/f.u.

## SbMoPb (GGA-PBE)

Data for a relaxed SbMoPb crystal.

Unit cell a=5.956 b=5.956 c=5.956 alpha=145.38 beta=145.38 gamma=49.77
Fractional coordinates of all 3 atoms:
Sb 0.635 0.635 0.000
Pb 0.346 0.346 0.000
Mo 0.020 0.020 0.000

Summary:
For the formation energy from raw total energies, the calculation gives 8.67 kcal/mol of atoms. The calculation puts the energy above the most stable polymorph in this dataset at 0.118 eV per formula unit. For the density of states at the Fermi level, the calculation gives 2.6 states/eV/f.u.

## SbMoPb (GGA-PBE)

Data for a relaxed SbMoPb crystal.

Unit cell a=3.425 b=3.425 c=6.897 alpha=90.00 beta=90.00 gamma=120.00
Site moments in Bohr magnetons follow the coordinates.
Fractional coordinates of all 3 atoms:
Pb 0.667 0.333 0.302  0.00
Mo 0.000 0.000 0.984  0.13
Sb 0.333 0.667 0.714  0.00

Summary:
For the formation energy from raw total energies, the calculation gives 7.76 kcal/mol of atoms. The calculation puts the energy above the most stable polymorph in this dataset at 0.000 eV per formula unit. For the density of states at the Fermi level, the calculation gives 2.4 states/eV/f.u.

## SbMo3Pb (GGA-PBE)

Data for a relaxed SbMo3Pb crystal.

Unit cell a=4.940 b=4.940 c=4.940 alpha=90.00 beta=90.00 gamma=90.00
Fractional coordinates of all 5 atoms:
Mo 0.000 0.500 0.000
Mo 0.500 0.000 0.000
Mo 0.000 0.000 0.500
Sb 0.000 0.000 0.000
Pb 0.500 0.500 0.500

Summary:
For the formation energy from raw total energies, the calculation gives 41.59 kcal/mol of atoms. The calculation puts the energy above the most stable polymorph in this dataset at 0.000 eV per formula unit. For the density of states at the Fermi level, the calculation gives 6.7 states/eV/f.u.